SrSnP2O8, relaxed, DFT PBE; space group = P-1 (2); magnetic moment = 0.000 μB per atom; E_form (uncorrected) = -24.4 eV/f.u.
1.0
6.768 0.000 0.000
-2.417 6.983 0.000
-0.153 -0.723 7.366
Sr Sn P O
2 2 4 16
direct
0.185 0.222 0.135
0.815 0.778 0.865
0.250 0.549 0.649
0.750 0.451 0.351
0.294 0.742 0.093
0.297 0.106 0.680
0.703 0.894 0.320
0.706 0.258 0.907
0.144 0.907 0.677
0.163 0.870 0.058
0.184 0.561 0.182
0.245 0.275 0.779
0.322 0.136 0.466
0.408 0.345 0.440
0.410 0.698 0.923
0.479 0.885 0.240
0.521 0.115 0.760
0.590 0.302 0.077
0.592 0.655 0.560
0.678 0.864 0.534
0.755 0.725 0.221
0.816 0.439 0.818
0.837 0.130 0.942
0.856 0.093 0.323

---

Rb2LiNdBr6, relaxed, DFT PBE; space group = P2_1/c (14); magnetic moment = 0.000 μB per atom; E_form (uncorrected) = -17.8 eV/f.u.
1.0
7.854 0.000 0.000
0.000 8.028 0.000
-7.806 0.000 11.146
Rb Li Nd Br
4 2 2 12
direct
0.235 0.051 0.249
0.235 0.449 0.749
0.765 0.551 0.251
0.765 0.949 0.751
0.000 0.000 0.500
0.000 0.500 0.000
0.500 0.000 0.000
0.500 0.500 0.500
0.171 0.213 0.965
0.171 0.287 0.465
0.255 0.707 0.967
0.255 0.793 0.467
0.311 0.010 0.744
0.311 0.490 0.244
0.689 0.510 0.756
0.689 0.990 0.256
0.745 0.207 0.533
0.745 0.293 0.033
0.829 0.713 0.535
0.829 0.787 0.035

---

MnCo, relaxed, DFT PBE; space group = I4/m (87); magnetic moment = 0.265 μB per atom; ΔE_f = 2.0 eV/f.u.
1.0
-5.021 5.021 1.185
5.021 -5.021 1.185
5.021 5.021 -1.185
Mn Co
4 4
direct
0.118 0.235 0.353
0.235 0.882 0.117
0.765 0.118 0.883
0.882 0.765 0.647
0.094 0.724 0.819
0.276 0.094 0.370
0.724 0.906 0.630
0.906 0.276 0.181

---

Ag3RhBr2Cl6, relaxed, DFT PBE; space group = C2/m (12); magnetic moment = 0.000 μB per atom; E_form (uncorrected) = -4.9 eV/f.u.
1.0
6.875 -3.702 0.000
6.875 3.702 0.000
-0.290 0.000 5.841
Ag Rh Br Cl
3 1 2 6
direct
0.000 0.000 0.000
0.000 0.500 0.500
0.500 0.000 0.500
0.500 0.500 0.500
0.177 0.177 0.218
0.823 0.823 0.782
0.195 0.650 0.272
0.350 0.805 0.728
0.366 0.366 0.729
0.634 0.634 0.271
0.650 0.195 0.272
0.805 0.350 0.728

---

CaNd3S4, relaxed, DFT PBE; space group = Cmmm (65); magnetic moment = 0.000 μB per atom; E_form (uncorrected) = -16.3 eV/f.u.
1.0
4.083 -5.737 0.000
4.083 5.737 0.000
0.000 0.000 4.037
Ca Nd S
1 3 4
direct
0.000 0.000 0.000
0.000 0.500 0.500
0.500 0.000 0.500
0.500 0.500 0.000
0.245 0.245 0.500
0.246 0.754 0.000
0.754 0.246 0.000
0.755 0.755 0.500

---

NpAgHgO6, relaxed, DFT PBE; space group = P-31c (163); magnetic moment = 0.228 μB per atom; E_form (uncorrected) = -10.5 eV/f.u.
1.0
5.551 0.000 0.000
-2.775 4.807 0.000
0.000 0.000 9.986
Np Ag Hg O
2 2 2 12
direct
0.333 0.667 0.250
0.667 0.333 0.750
0.333 0.667 0.750
0.667 0.333 0.250
0.000 0.000 0.000
0.000 0.000 0.500
0.029 0.367 0.136
0.029 0.662 0.364
0.338 0.367 0.364
0.338 0.971 0.136
0.367 0.029 0.636
0.367 0.338 0.864
0.633 0.662 0.136
0.633 0.971 0.364
0.662 0.029 0.864
0.662 0.633 0.636
0.971 0.338 0.636
0.971 0.633 0.864

---

La8Pr3Tm2, relaxed, DFT PBE; space group = C2/m (12); magnetic moment = 0.000 μB per atom; ΔE_f = 2.4 eV/f.u.
1.0
10.321 -3.885 0.000
10.321 3.885 0.000
-0.004 0.000 5.949
La Pr Tm
8 3 2
direct
0.097 0.688 0.000
0.176 0.176 0.501
0.312 0.903 0.000
0.364 0.364 0.501
0.636 0.636 0.499
0.688 0.097 0.000
0.824 0.824 0.499
0.903 0.312 0.000
0.217 0.783 0.500
0.500 0.500 0.000
0.783 0.217 0.500
0.258 0.258 0.002
0.742 0.742 0.998

---

Cr3GaRe, relaxed, DFT PBE; space group = Pm-3m (221); magnetic moment = 1.654 μB per atom; ΔE_f = 6.7 eV/f.u.
1.0
4.687 0.000 0.000
0.000 4.687 0.000
0.000 0.000 4.687
Cr Ga Re
3 1 1
direct
0.000 0.000 0.500
0.000 0.500 0.000
0.500 0.000 0.000
0.500 0.500 0.500
0.000 0.000 0.000

---

LaCe2Tl2Cd2, relaxed, DFT PBE; space group = R-3m (166); magnetic moment = 0.347 μB per atom; ΔE_f = -1.2 eV/f.u.
1.0
2.446 1.412 9.386
-2.446 1.412 9.386
0.000 -2.825 9.386
La Ce Tl Cd
1 2 2 2
direct
0.000 0.000 0.000
0.147 0.147 0.147
0.853 0.853 0.853
0.270 0.270 0.270
0.730 0.730 0.730
0.426 0.426 0.426
0.574 0.574 0.574

---

Mg2Bi, relaxed, DFT PBE; space group = P-62m (189); magnetic moment = 0.000 μB per atom; ΔE_f = 0.0 eV/f.u.
1.0
5.780 0.000 0.000
-2.890 5.006 0.000
0.000 0.000 5.447
Mg Bi
4 2
direct
0.000 0.000 0.000
0.000 0.672 0.500
0.328 0.328 0.500
0.672 0.000 0.500
0.333 0.667 0.000
0.667 0.333 0.000

---

SrLaRe2O8, relaxed, DFT PBE; space group = P-3m1 (164); magnetic moment = 0.250 μB per atom; E_form (uncorrected) = -24.7 eV/f.u.
1.0
6.018 0.000 0.000
-3.009 5.212 0.000
0.000 0.000 7.400
Sr La Re O
1 1 2 8
direct
0.000 0.000 0.000
0.000 0.000 0.500
0.333 0.667 0.806
0.667 0.333 0.194
0.166 0.331 0.727
0.166 0.834 0.727
0.331 0.166 0.273
0.333 0.667 0.047
0.667 0.333 0.953
0.669 0.834 0.727
0.834 0.166 0.273
0.834 0.669 0.273

---

La8Pr3Sm, relaxed, DFT PBE; space group = Immm (71); magnetic moment = 0.000 μB per atom; ΔE_f = 3.2 eV/f.u.
1.0
-3.409 5.731 5.935
3.409 -5.731 5.935
3.409 5.731 -5.935
La Pr Sm
8 3 1
direct
0.082 0.249 0.833
0.228 0.275 0.504
0.228 0.725 0.953
0.417 0.249 0.167
0.583 0.751 0.833
0.772 0.275 0.047
0.772 0.725 0.496
0.918 0.751 0.167
0.239 0.739 0.500
0.500 0.500 0.000
0.761 0.261 0.500
0.000 0.000 0.000

---

PmNdGa2, relaxed, DFT PBE; space group = R-3m (166); magnetic moment = 0.000 μB per atom; ΔE_f = -1.5 eV/f.u.
1.0
1.905 1.100 8.818
-1.905 1.100 8.818
0.000 -2.200 8.818
Pm Nd Ga
1 1 2
direct
0.000 0.000 0.000
0.500 0.500 0.500
0.251 0.251 0.251
0.749 0.749 0.749

---

Ni2TeAs, relaxed, DFT PBE; space group = P4/mmm (123); magnetic moment = 0.000 μB per atom; E_form (uncorrected) = 0.6 eV/f.u.
1.0
4.360 0.000 0.000
0.000 4.360 0.000
0.000 0.000 3.357
Ni Te As
2 1 1
direct
0.000 0.500 0.000
0.500 0.000 0.000
0.000 0.000 0.500
0.500 0.500 0.500

---

Li2SnGeSe4, relaxed, DFT PBE; space group = Pmn2_1 (31); magnetic moment = 0.000 μB per atom; E_form (uncorrected) = -5.6 eV/f.u.
1.0
9.685 0.000 0.000
0.000 6.767 0.000
0.000 0.000 6.363
Li Sn Ge Se
4 2 2 8
direct
0.249 0.190 0.000
0.251 0.810 0.500
0.749 0.810 0.500
0.751 0.190 0.000
0.000 0.718 0.983
0.500 0.282 0.483
0.000 0.332 0.517
0.500 0.668 0.017
0.000 0.320 0.899
0.000 0.678 0.421
0.212 0.185 0.407
0.288 0.815 0.907
0.500 0.322 0.921
0.500 0.680 0.399
0.712 0.815 0.907
0.788 0.185 0.407

---

AgPdRu2F, relaxed, DFT PBE; space group = P4/mmm (123); magnetic moment = 0.626 μB per atom; E_form (uncorrected) = 3.8 eV/f.u.
1.0
4.095 0.000 0.000
0.000 4.095 0.000
0.000 0.000 4.745
Ag Pd Ru F
1 1 2 1
direct
0.000 0.000 0.000
0.500 0.500 0.000
0.000 0.500 0.500
0.500 0.000 0.500
0.000 0.000 0.500

---

La2TbY9, relaxed, DFT PBE; space group = P4/mmm (123); magnetic moment = 0.000 μB per atom; ΔE_f = 0.4 eV/f.u.
1.0
5.095 0.000 0.000
0.000 5.095 0.000
0.000 0.000 15.305
La Tb Y
2 1 9
direct
0.000 0.000 0.167
0.000 0.000 0.833
0.000 0.000 0.500
0.000 0.500 0.000
0.000 0.500 0.337
0.000 0.500 0.663
0.500 0.000 0.000
0.500 0.000 0.337
0.500 0.000 0.663
0.500 0.500 0.169
0.500 0.500 0.500
0.500 0.500 0.831

---

MoH3, relaxed, DFT PBE; space group = Pm-3m (221); magnetic moment = 0.337 μB per atom; energy = -4.92 eV per atom
1.0
2.918 0.000 0.000
0.000 2.918 0.000
0.000 0.000 2.918
Mo H
1 3
direct
0.000 0.000 0.000
0.000 0.500 0.500
0.500 0.000 0.500
0.500 0.500 0.000

---

Dy2Ho3Er4, relaxed, DFT PBE; space group = C2/c (15); magnetic moment = 0.000 μB per atom; ΔE_f = 0.9 eV/f.u.
1.0
8.009 -5.721 0.000
8.009 5.721 0.000
-0.626 0.000 6.027
Dy Ho Er
4 6 8
direct
0.021 0.736 0.679
0.264 0.979 0.821
0.736 0.021 0.179
0.979 0.264 0.321
0.096 0.904 0.250
0.237 0.431 0.412
0.431 0.237 0.912
0.569 0.763 0.088
0.763 0.569 0.588
0.904 0.096 0.750
0.073 0.355 0.847
0.312 0.596 0.986
0.355 0.073 0.347
0.404 0.688 0.514
0.596 0.312 0.486
0.645 0.927 0.653
0.688 0.404 0.014
0.927 0.645 0.153

---

EuCd2Ag, relaxed, DFT PBE; space group = P4/mmm (123); magnetic moment = 1.815 μB per atom; ΔE_f = -0.8 eV/f.u.
1.0
3.588 0.000 0.000
0.000 3.588 0.000
0.000 0.000 7.625
Eu Cd Ag
1 2 1
direct
0.000 0.000 0.000
0.500 0.500 0.294
0.500 0.500 0.706
0.000 0.000 0.500